*one*
# Dy2Er2Tm3Ni2Te2 PBE relaxed
data_Dy2Er2Tm3Ni2Te2
_chemical_formula_sum 'Dy4 Er4 Tm6 Ni4 Te4'
_symmetry_space_group_name_H-M 'I m m 2'
_symmetry_Int_Tables_number 44
_symmetry_space_group_name_Hall 'I 2 -2'
_cell_length_a 3.827
_cell_length_b 15.478
_cell_length_c 9.481
_cell_angle_alpha 90.00
_cell_angle_beta 90.00
_cell_angle_gamma 90.00
loop_
_atom_site_label
_atom_site_type_symbol
_atom_site_fract_x
_atom_site_fract_y
_atom_site_fract_z
Dy1 Dy 0.000 0.146 0.000
Er1 Er 0.000 0.367 0.853
Tm1 Tm 0.000 0.185 0.649
Tm2 Tm 0.000 0.500 0.270
Ni1 Ni 0.000 0.262 0.342
Te1 Te 0.000 0.000 0.505
Te2 Te 0.000 0.500 0.607
# * calculated volume: 25.5 Å³ per atom
# * crystal system: orthorhombic

=====

*two*
# Dy2Er2Tm3Ni2Te2 PBE relaxed
data_Dy2Er2Tm3Ni2Te2
_chemical_formula_sum 'Dy4 Er4 Tm6 Ni4 Te4'
_symmetry_space_group_name_H-M 'I m m 2'
_symmetry_Int_Tables_number 44
_symmetry_space_group_name_Hall 'I 2 -2'
_cell_length_a 3.822
_cell_length_b 15.468
_cell_length_c 9.474
_cell_angle_alpha 90.00
_cell_angle_beta 90.00
_cell_angle_gamma 90.00
loop_
_atom_site_label
_atom_site_type_symbol
_atom_site_fract_x
_atom_site_fract_y
_atom_site_fract_z
Dy1 Dy 0.000 0.133 0.000
Er1 Er 0.000 0.315 0.796
Tm1 Tm 0.000 0.000 0.417
Tm2 Tm 0.000 0.354 0.147
Ni1 Ni 0.000 0.237 0.489
Te1 Te 0.000 0.000 0.754
Te2 Te 0.000 0.500 0.652
# * calculated volume: 25.5 Å³ per atom
# * crystal system: orthorhombic

=====

Least stable = *two*

=====

*one*
# Dy2Er2Tm3Ni2Te2 PBE relaxed
data_Dy2Er2Tm3Ni2Te2
_chemical_formula_sum 'Dy4 Er4 Tm6 Ni4 Te4'
_symmetry_space_group_name_H-M 'I m m 2'
_symmetry_Int_Tables_number 44
_symmetry_space_group_name_Hall 'I 2 -2'
_cell_length_a 3.824
_cell_length_b 15.494
_cell_length_c 9.515
_cell_angle_alpha 90.00
_cell_angle_beta 90.00
_cell_angle_gamma 90.00
loop_
_atom_site_label
_atom_site_type_symbol
_atom_site_fract_x
_atom_site_fract_y
_atom_site_fract_z
Dy1 Dy 0.000 0.133 0.000
Er1 Er 0.000 0.354 0.147
Tm1 Tm 0.000 0.000 0.418
Tm2 Tm 0.000 0.315 0.797
Ni1 Ni 0.000 0.237 0.489
Te1 Te 0.000 0.000 0.754
Te2 Te 0.000 0.500 0.654
# * calculated volume: 25.6 Å³ per atom
# * crystal system: orthorhombic

=====

*two*
# Dy2Er2Tm3Ni2Te2 PBE relaxed
data_Dy2Er2Tm3Ni2Te2
_chemical_formula_sum 'Dy4 Er4 Tm6 Ni4 Te4'
_symmetry_space_group_name_H-M 'I m m 2'
_symmetry_Int_Tables_number 44
_symmetry_space_group_name_Hall 'I 2 -2'
_cell_length_a 3.823
_cell_length_b 15.480
_cell_length_c 9.502
_cell_angle_alpha 90.00
_cell_angle_beta 90.00
_cell_angle_gamma 90.00
loop_
_atom_site_label
_atom_site_type_symbol
_atom_site_fract_x
_atom_site_fract_y
_atom_site_fract_z
Dy1 Dy 0.000 0.185 0.000
Er1 Er 0.000 0.146 0.351
Tm1 Tm 0.000 0.367 0.204
Tm2 Tm 0.000 0.500 0.621
Ni1 Ni 0.000 0.262 0.693
Te1 Te 0.000 0.000 0.855
Te2 Te 0.000 0.500 0.959
# * calculated volume: 25.6 Å³ per atom
# * crystal system: orthorhombic

=====

Least stable = *two*

=====

*one*
# Dy2Er2Tm3Ni2Te2 PBE relaxed
data_Dy2Er2Tm3Ni2Te2
_chemical_formula_sum 'Dy4 Er4 Tm6 Ni4 Te4'
_symmetry_space_group_name_H-M 'I m m 2'
_symmetry_Int_Tables_number 44
_symmetry_space_group_name_Hall 'I 2 -2'
_cell_length_a 3.826
_cell_length_b 15.474
_cell_length_c 9.481
_cell_angle_alpha 90.00
_cell_angle_beta 90.00
_cell_angle_gamma 90.00
loop_
_atom_site_label
_atom_site_type_symbol
_atom_site_fract_x
_atom_site_fract_y
_atom_site_fract_z
Dy1 Dy 0.000 0.146 0.000
Er1 Er 0.000 0.185 0.649
Tm1 Tm 0.000 0.367 0.853
Tm2 Tm 0.000 0.500 0.270
Ni1 Ni 0.000 0.262 0.342
Te1 Te 0.000 0.000 0.505
Te2 Te 0.000 0.500 0.607
# * calculated volume: 25.5 Å³ per atom
# * crystal system: orthorhombic

=====

*two*
# Dy2Er2Tm3Ni2Te2 PBE relaxed
data_Dy2Er2Tm3Ni2Te2
_chemical_formula_sum 'Dy4 Er4 Tm6 Ni4 Te4'
_symmetry_space_group_name_H-M 'I m m 2'
_symmetry_Int_Tables_number 44
_symmetry_space_group_name_Hall 'I 2 -2'
_cell_length_a 3.824
_cell_length_b 15.469
_cell_length_c 9.477
_cell_angle_alpha 90.00
_cell_angle_beta 90.00
_cell_angle_gamma 90.00
loop_
_atom_site_label
_atom_site_type_symbol
_atom_site_fract_x
_atom_site_fract_y
_atom_site_fract_z
Dy1 Dy 0.000 0.185 0.000
Er1 Er 0.000 0.367 0.204
Tm1 Tm 0.000 0.146 0.351
Tm2 Tm 0.000 0.500 0.621
Ni1 Ni 0.000 0.262 0.693
Te1 Te 0.000 0.000 0.856
Te2 Te 0.000 0.500 0.958
# * calculated volume: 25.5 Å³ per atom
# * crystal system: orthorhombic

=====

Least stable = *two*

=====

*one*
# Dy4Er2TmNi2Te2 PBE relaxed
data_Dy4Er2TmNi2Te2
_chemical_formula_sum 'Dy8 Er4 Tm2 Ni4 Te4'
_symmetry_space_group_name_H-M 'I m m 2'
_symmetry_Int_Tables_number 44
_symmetry_space_group_name_Hall 'I 2 -2'
_cell_length_a 3.837
_cell_length_b 15.574
_cell_length_c 9.564
_cell_angle_alpha 90.00
_cell_angle_beta 90.00
_cell_angle_gamma 90.00
loop_
_atom_site_label
_atom_site_type_symbol
_atom_site_fract_x
_atom_site_fract_y
_atom_site_fract_z
Dy1 Dy 0.000 0.133 0.000
Dy2 Dy 0.000 0.354 0.147
Er1 Er 0.000 0.315 0.797
Tm1 Tm 0.000 0.000 0.418
Ni1 Ni 0.000 0.237 0.489
Te1 Te 0.000 0.000 0.754
Te2 Te 0.000 0.500 0.655
# * calculated volume: 26.0 Å³ per atom
# * crystal system: orthorhombic

=====

*two*
# Dy4Er2TmNi2Te2 PBE relaxed
data_Dy4Er2TmNi2Te2
_chemical_formula_sum 'Dy8 Er4 Tm2 Ni4 Te4'
_symmetry_space_group_name_H-M 'I m m 2'
_symmetry_Int_Tables_number 44
_symmetry_space_group_name_Hall 'I 2 -2'
_cell_length_a 3.832
_cell_length_b 15.577
_cell_length_c 9.547
_cell_angle_alpha 90.00
_cell_angle_beta 90.00
_cell_angle_gamma 90.00
loop_
_atom_site_label
_atom_site_type_symbol
_atom_site_fract_x
_atom_site_fract_y
_atom_site_fract_z
Dy1 Dy 0.000 0.133 0.000
Dy2 Dy 0.000 0.315 0.797
Er1 Er 0.000 0.354 0.147
Tm1 Tm 0.000 0.000 0.418
Ni1 Ni 0.000 0.237 0.490
Te1 Te 0.000 0.000 0.754
Te2 Te 0.000 0.500 0.654
# * calculated volume: 25.9 Å³ per atom
# * crystal system: orthorhombic

=====

Least stable = *two*

=====

*one*
# Dy3Y2Er2Ni2Te2 PBE relaxed
data_Dy3Y2Er2Ni2Te2
_chemical_formula_sum 'Dy6 Y4 Er4 Ni4 Te4'
_symmetry_space_group_name_H-M 'I m m 2'
_symmetry_Int_Tables_number 44
_symmetry_space_group_name_Hall 'I 2 -2'
_cell_length_a 3.853
_cell_length_b 15.629
_cell_length_c 9.582
_cell_angle_alpha 90.00
_cell_angle_beta 90.00
_cell_angle_gamma 90.00
loop_
_atom_site_label
_atom_site_type_symbol
_atom_site_fract_x
_atom_site_fract_y
_atom_site_fract_z
Dy1 Dy 0.000 0.000 0.000
Dy2 Dy 0.000 0.132 0.418
Y1 Y 0.000 0.354 0.268
Er1 Er 0.000 0.316 0.619
Ni1 Ni 0.000 0.239 0.928
Te1 Te 0.000 0.000 0.664
Te2 Te 0.000 0.500 0.764
# * calculated volume: 26.2 Å³ per atom
# * crystal system: orthorhombic

=====

*two*
# Dy3Y2Er2Ni2Te2 PBE relaxed
data_Dy3Y2Er2Ni2Te2
_chemical_formula_sum 'Dy6 Y4 Er4 Ni4 Te4'
_symmetry_space_group_name_H-M 'I m m 2'
_symmetry_Int_Tables_number 44
_symmetry_space_group_name_Hall 'I 2 -2'
_cell_length_a 3.845
_cell_length_b 15.597
_cell_length_c 9.569
_cell_angle_alpha 90.00
_cell_angle_beta 90.00
_cell_angle_gamma 90.00
loop_
_atom_site_label
_atom_site_type_symbol
_atom_site_fract_x
_atom_site_fract_y
_atom_site_fract_z
Dy1 Dy 0.000 0.000 0.000
Dy2 Dy 0.000 0.131 0.418
Y1 Y 0.000 0.316 0.620
Er1 Er 0.000 0.354 0.268
Ni1 Ni 0.000 0.238 0.928
Te1 Te 0.000 0.000 0.664
Te2 Te 0.000 0.500 0.764
# * calculated volume: 26.1 Å³ per atom
# * crystal system: orthorhombic

=====

*three*
# Dy3Y2Er2Ni2Te2 PBE relaxed
data_Dy3Y2Er2Ni2Te2
_chemical_formula_sum 'Dy6 Y4 Er4 Ni4 Te4'
_symmetry_space_group_name_H-M 'I m m 2'
_symmetry_Int_Tables_number 44
_symmetry_space_group_name_Hall 'I 2 -2'
_cell_length_a 3.851
_cell_length_b 15.618
_cell_length_c 9.579
_cell_angle_alpha 90.00
_cell_angle_beta 90.00
_cell_angle_gamma 90.00
loop_
_atom_site_label
_atom_site_type_symbol
_atom_site_fract_x
_atom_site_fract_y
_atom_site_fract_z
Dy1 Dy 0.000 0.000 0.000
Dy2 Dy 0.000 0.316 0.619
Y1 Y 0.000 0.354 0.268
Er1 Er 0.000 0.132 0.418
Ni1 Ni 0.000 0.239 0.928
Te1 Te 0.000 0.000 0.664
Te2 Te 0.000 0.500 0.764
# * calculated volume: 26.2 Å³ per atom
# * crystal system: orthorhombic

=====

Least stable = *two*

=====

*one*
# Dy4YEr2Ni2Te2 PBE relaxed
data_Dy4YEr2Ni2Te2
_chemical_formula_sum 'Dy8 Y2 Er4 Ni4 Te4'
_symmetry_space_group_name_H-M 'I m m 2'
_symmetry_Int_Tables_number 44
_symmetry_space_group_name_Hall 'I 2 -2'
_cell_length_a 3.848
_cell_length_b 15.635
_cell_length_c 9.545
_cell_angle_alpha 90.00
_cell_angle_beta 90.00
_cell_angle_gamma 90.00
loop_
_atom_site_label
_atom_site_type_symbol
_atom_site_fract_x
_atom_site_fract_y
_atom_site_fract_z
Dy1 Dy 0.000 0.132 0.000
Dy2 Dy 0.000 0.353 0.852
Y1 Y 0.000 0.000 0.583
Er1 Er 0.000 0.315 0.202
Ni1 Ni 0.000 0.238 0.511
Te1 Te 0.000 0.000 0.247
Te2 Te 0.000 0.500 0.346
# * calculated volume: 26.1 Å³ per atom
# * crystal system: orthorhombic

=====

*two*
# Dy4YEr2Ni2Te2 PBE relaxed
data_Dy4YEr2Ni2Te2
_chemical_formula_sum 'Dy8 Y2 Er4 Ni4 Te4'
_symmetry_space_group_name_H-M 'I m m 2'
_symmetry_Int_Tables_number 44
_symmetry_space_group_name_Hall 'I 2 -2'
_cell_length_a 3.851
_cell_length_b 15.622
_cell_length_c 9.578
_cell_angle_alpha 90.00
_cell_angle_beta 90.00
_cell_angle_gamma 90.00
loop_
_atom_site_label
_atom_site_type_symbol
_atom_site_fract_x
_atom_site_fract_y
_atom_site_fract_z
Dy1 Dy 0.000 0.146 0.000
Dy2 Dy 0.000 0.184 0.351
Y1 Y 0.000 0.500 0.732
Er1 Er 0.000 0.369 0.150
Ni1 Ni 0.000 0.261 0.660
Te1 Te 0.000 0.000 0.496
Te2 Te 0.000 0.500 0.396
# * calculated volume: 26.2 Å³ per atom
# * crystal system: orthorhombic

=====

Least stable = *two*

=====

*one*
# DyY4Er2Ni2Te2 PBE relaxed
data_DyY4Er2Ni2Te2
_chemical_formula_sum 'Dy2 Y8 Er4 Ni4 Te4'
_symmetry_space_group_name_H-M 'I m m 2'
_symmetry_Int_Tables_number 44
_symmetry_space_group_name_Hall 'I 2 -2'
_cell_length_a 3.861
_cell_length_b 15.622
_cell_length_c 9.584
_cell_angle_alpha 90.00
_cell_angle_beta 90.00
_cell_angle_gamma 90.00
loop_
_atom_site_label
_atom_site_type_symbol
_atom_site_fract_x
_atom_site_fract_y
_atom_site_fract_z
Dy1 Dy 0.000 0.000 0.000
Y1 Y 0.000 0.131 0.417
Y2 Y 0.000 0.354 0.268
Er1 Er 0.000 0.315 0.618
Ni1 Ni 0.000 0.238 0.929
Te1 Te 0.000 0.000 0.664
Te2 Te 0.000 0.500 0.763
# * calculated volume: 26.3 Å³ per atom
# * crystal system: orthorhombic

=====

*two*
# DyY4Er2Ni2Te2 PBE relaxed
data_DyY4Er2Ni2Te2
_chemical_formula_sum 'Dy2 Y8 Er4 Ni4 Te4'
_symmetry_space_group_name_H-M 'I m m 2'
_symmetry_Int_Tables_number 44
_symmetry_space_group_name_Hall 'I 2 -2'
_cell_length_a 3.852
_cell_length_b 15.597
_cell_length_c 9.577
_cell_angle_alpha 90.00
_cell_angle_beta 90.00
_cell_angle_gamma 90.00
loop_
_atom_site_label
_atom_site_type_symbol
_atom_site_fract_x
_atom_site_fract_y
_atom_site_fract_z
Dy1 Dy 0.000 0.000 0.000
Y1 Y 0.000 0.316 0.620
Y2 Y 0.000 0.354 0.268
Er1 Er 0.000 0.132 0.418
Ni1 Ni 0.000 0.239 0.928
Te1 Te 0.000 0.000 0.663
Te2 Te 0.000 0.500 0.765
# * calculated volume: 26.2 Å³ per atom
# * crystal system: orthorhombic

=====

Least stable = *two*

=====

*one*
# DyErSi2Os PBE relaxed
data_DyErSi2Os
_chemical_formula_sum 'Dy4 Er4 Si8 Os4'
_symmetry_space_group_name_H-M 'C 1 2/m 1'
_symmetry_Int_Tables_number 12
_symmetry_space_group_name_Hall '-C 2y'
_cell_length_a 10.594
_cell_length_b 4.217
_cell_length_c 9.961
_cell_angle_alpha 90.00
_cell_angle_beta 118.66
_cell_angle_gamma 90.00
loop_
_atom_site_label
_atom_site_type_symbol
_atom_site_fract_x
_atom_site_fract_y
_atom_site_fract_z
Dy1 Dy 0.187 0.000 0.111
Er1 Er 0.007 0.000 0.678
Si1 Si 0.004 0.500 0.875
Si2 Si 0.143 0.500 0.560
Os1 Os 0.231 0.500 0.373
# * calculated volume: 19.5 Å³ per atom
# * crystal system: monoclinic

=====

*two*
# DyErSi2Os PBE relaxed
data_DyErSi2Os
_chemical_formula_sum 'Dy4 Er4 Si8 Os4'
_symmetry_space_group_name_H-M 'C 1 2/m 1'
_symmetry_Int_Tables_number 12
_symmetry_space_group_name_Hall '-C 2y'
_cell_length_a 10.645
_cell_length_b 4.219
_cell_length_c 9.958
_cell_angle_alpha 90.00
_cell_angle_beta 119.01
_cell_angle_gamma 90.00
loop_
_atom_site_label
_atom_site_type_symbol
_atom_site_fract_x
_atom_site_fract_y
_atom_site_fract_z
Dy1 Dy 0.009 0.000 0.179
Er1 Er 0.185 0.000 0.611
Si1 Si 0.003 0.500 0.376
Si2 Si 0.144 0.500 0.061
Os1 Os 0.230 0.500 0.872
# * calculated volume: 19.6 Å³ per atom
# * crystal system: monoclinic

=====

Least stable = *two*

=====

*one*
# DyErPd PBE relaxed
data_DyErPd
_chemical_formula_sum 'Dy4 Er4 Pd4'
_symmetry_space_group_name_H-M 'P n m a'
_symmetry_Int_Tables_number 62
_symmetry_space_group_name_Hall '-P 2ac 2n'
_cell_length_a 7.035
_cell_length_b 4.841
_cell_length_c 8.697
_cell_angle_alpha 90.00
_cell_angle_beta 90.00
_cell_angle_gamma 90.00
loop_
_atom_site_label
_atom_site_type_symbol
_atom_site_fract_x
_atom_site_fract_y
_atom_site_fract_z
Dy1 Dy 0.146 0.250 0.080
Er1 Er 0.016 0.250 0.672
Pd1 Pd 0.240 0.250 0.405
# * calculated volume: 24.7 Å³ per atom
# * crystal system: orthorhombic

=====

*two*
# DyErPd PBE relaxed
data_DyErPd
_chemical_formula_sum 'Dy4 Er4 Pd4'
_symmetry_space_group_name_H-M 'P n m a'
_symmetry_Int_Tables_number 62
_symmetry_space_group_name_Hall '-P 2ac 2n'
_cell_length_a 7.035
_cell_length_b 4.840
_cell_length_c 8.705
_cell_angle_alpha 90.00
_cell_angle_beta 90.00
_cell_angle_gamma 90.00
loop_
_atom_site_label
_atom_site_type_symbol
_atom_site_fract_x
_atom_site_fract_y
_atom_site_fract_z
Dy1 Dy 0.016 0.250 0.173
Er1 Er 0.144 0.250 0.580
Pd1 Pd 0.241 0.250 0.905
# * calculated volume: 24.7 Å³ per atom
# * crystal system: orthorhombic

=====

Least stable = *one*

=====

*one*
# Dy3Er4Te2Pd2 PBE relaxed
data_Dy3Er4Te2Pd2
_chemical_formula_sum 'Dy6 Er8 Te4 Pd4'
_symmetry_space_group_name_H-M 'I m m 2'
_symmetry_Int_Tables_number 44
_symmetry_space_group_name_Hall 'I 2 -2'
_cell_length_a 3.932
_cell_length_b 15.706
_cell_length_c 9.610
_cell_angle_alpha 90.00
_cell_angle_beta 90.00
_cell_angle_gamma 90.00
loop_
_atom_site_label
_atom_site_type_symbol
_atom_site_fract_x
_atom_site_fract_y
_atom_site_fract_z
Dy1 Dy 0.000 0.000 0.000
Dy2 Dy 0.000 0.129 0.583
Er1 Er 0.000 0.318 0.376
Er2 Er 0.000 0.355 0.735
Te1 Te 0.000 0.000 0.335
Te2 Te 0.000 0.500 0.236
Pd1 Pd 0.000 0.237 0.071
# * calculated volume: 27.0 Å³ per atom
# * crystal system: orthorhombic

=====

*two*
# Dy3Er4Te2Pd2 PBE relaxed
data_Dy3Er4Te2Pd2
_chemical_formula_sum 'Dy6 Er8 Te4 Pd4'
_symmetry_space_group_name_H-M 'I m m 2'
_symmetry_Int_Tables_number 44
_symmetry_space_group_name_Hall 'I 2 -2'
_cell_length_a 3.928
_cell_length_b 15.686
_cell_length_c 9.606
_cell_angle_alpha 90.00
_cell_angle_beta 90.00
_cell_angle_gamma 90.00
loop_
_atom_site_label
_atom_site_type_symbol
_atom_site_fract_x
_atom_site_fract_y
_atom_site_fract_z
Dy1 Dy 0.000 0.000 0.000
Dy2 Dy 0.000 0.318 0.375
Er1 Er 0.000 0.129 0.583
Er2 Er 0.000 0.356 0.736
Te1 Te 0.000 0.000 0.337
Te2 Te 0.000 0.500 0.234
Pd1 Pd 0.000 0.238 0.071
# * calculated volume: 26.9 Å³ per atom
# * crystal system: orthorhombic

=====

Least stable = *two*